Entry 1:
An optimized crystal structure of BeReHg2, computed with GGA-PBE.

Properties
Space-group type   Cm, No. 8
Final energy   -3.510 eV/atom
Energy relative to the elements   685 meV/atom
DOS at the Fermi energy   0.699 states/eV/atom
Total moment   0.00 μB/cell

abc: 5.571 5.571 4.956
angles: 68.87 68.87 29.40
Fractional coordinates of all 4 atoms:
Be: 0.796 0.796 0.769
Re: 0.468 0.468 0.466
Hg: 0.226 0.226 0.324
Hg: 0.010 0.010 0.940


Entry 2:
An optimized crystal structure of LaTc3Br, computed with GGA-PBE.

Properties
Space-group type   Pm-3m, No. 221
E_form (uncorrected)   1.015 eV/atom
Final energy   -6.524 eV/atom
DOS at the Fermi energy   1.180 states/eV/atom
Total moment   0.00 μB/cell

abc: 4.675 4.675 4.675
angles: 90.00 90.00 90.00
Fractional coordinates of all 5 atoms:
Tc: 0.500 0.000 0.000
Tc: 0.000 0.500 0.000
Tc: 0.000 0.000 0.500
La: 0.500 0.500 0.500
Br: 0.000 0.000 0.000


Entry 3:
An optimized crystal structure of Pu3Th2PaN6, computed with GGA-PBE.

Properties
Space-group type   C2/m, No. 12
E_form (uncorrected)   -1.423 eV/atom
Final energy   -11.197 eV/atom
DOS at the Fermi energy   1.267 states/eV/atom
Total moment   15.48 μB/cell

abc: 6.177 6.177 6.132
angles: 99.67 99.67 119.98
Site moments in Bohr magnetons follow the coordinates.
Fractional coordinates of all 12 atoms:
N: 0.917 0.599 0.750  -0.11
N: 0.766 0.766 0.251  -0.11
Pa: 0.000 0.000 0.000  0.31
Pu: 0.833 0.167 0.500  4.88
N: 0.599 0.917 0.750  -0.11
N: 0.083 0.401 0.250  -0.11
Th: 0.333 0.667 0.000  0.14
Th: 0.667 0.333 0.000  0.14
N: 0.234 0.234 0.749  -0.11
Pu: 0.500 0.500 0.500  4.88
N: 0.401 0.083 0.250  -0.11
Pu: 0.167 0.833 0.500  4.88


Entry 4:
An optimized crystal structure of Sc2TiAl2Pd5, computed with GGA-PBE.

Properties
Space-group type   P4/mbm, No. 127
Final energy   -6.144 eV/atom
Energy relative to the elements   -743 meV/atom
DOS at the Fermi energy   0.796 states/eV/atom
Total moment   0.00 μB/cell

abc: 3.571 9.712 9.712
angles: 90.00 90.00 90.00
Fractional coordinates of all 20 atoms:
Al: 0.000 0.373 0.127
Pd: 0.500 0.798 0.939
Al: 0.000 0.627 0.873
Pd: 0.500 0.061 0.798
Pd: 0.500 0.000 0.500
Pd: 0.500 0.500 0.000
Pd: 0.500 0.702 0.439
Sc: 0.000 0.827 0.673
Pd: 0.500 0.298 0.561
Al: 0.000 0.127 0.627
Sc: 0.000 0.327 0.827
Al: 0.000 0.873 0.373
Pd: 0.500 0.439 0.298
Ti: 0.000 0.500 0.500
Ti: 0.000 0.000 0.000
Pd: 0.500 0.202 0.061
Pd: 0.500 0.939 0.202
Sc: 0.000 0.673 0.173
Pd: 0.500 0.561 0.702
Sc: 0.000 0.173 0.327


Entry 5:
An optimized crystal structure of LuPuRh4, computed with GGA-PBE.

Properties
Space-group type   F-43m, No. 216
Final energy   -8.649 eV/atom
Energy relative to the elements   -606 meV/atom
DOS at the Fermi energy   2.267 states/eV/atom
Total moment   5.02 μB/cell

abc: 5.313 5.313 5.313
angles: 60.00 60.00 60.00
Site moments in Bohr magnetons follow the coordinates.
Fractional coordinates of all 6 atoms:
Lu: 0.000 0.000 0.000  0.17
Pu: 0.250 0.250 0.250  5.06
Rh: 0.625 0.125 0.625  -0.13
Rh: 0.125 0.625 0.625  -0.13
Rh: 0.625 0.625 0.125  -0.13
Rh: 0.625 0.625 0.625  -0.13


Entry 6:
An optimized crystal structure of Cs2TlH, computed with GGA-PBE.

Properties
Space-group type   R-3m, No. 166
Final energy   -1.759 eV/atom
DOS at the Fermi energy   0.653 states/eV/atom
Total moment   0.00 μB/cell

abc: 4.212 4.212 11.574
angles: 79.52 79.52 60.00
Fractional coordinates of all 4 atoms:
Tl: 0.000 0.000 0.000
Cs: 0.888 0.888 0.335
H: 0.500 0.500 0.500
Cs: 0.112 0.112 0.665


Entry 7:
An optimized crystal structure of BaFe4Se, computed with GGA-PBE.

Properties
Space-group type   F-43m, No. 216
E_form (uncorrected)   0.481 eV/atom
Final energy   -6.062 eV/atom
DOS at the Fermi energy   1.210 states/eV/atom
Total moment   11.90 μB/cell

abc: 5.347 5.347 5.347
angles: 60.00 60.00 60.00
Site moments in Bohr magnetons follow the coordinates.
Fractional coordinates of all 6 atoms:
Ba: 0.000 0.000 0.000  -0.08
Fe: 0.376 0.376 0.376  2.85
Fe: 0.873 0.376 0.376  2.85
Se: 0.750 0.750 0.750  0.27
Fe: 0.376 0.873 0.376  2.85
Fe: 0.376 0.376 0.873  2.85


Entry 8:
An optimized crystal structure of Hf2Mn2Bi, computed with GGA-PBE.

Properties
Space-group type   P4/mbm, No. 127
Final energy   -8.402 eV/atom
Energy relative to the elements   24 meV/atom
DOS at the Fermi energy   0.693 states/eV/atom
Total moment   9.94 μB/cell

abc: 7.241 7.241 3.627
angles: 90.00 90.00 90.00
Site moments in Bohr magnetons follow the coordinates.
Fractional coordinates of all 10 atoms:
Mn: 0.622 0.122 0.000  2.71
Hf: 0.667 0.833 0.500  -0.27
Mn: 0.378 0.878 0.000  2.71
Mn: 0.878 0.622 0.000  2.69
Bi: 0.000 0.000 0.000  0.02
Hf: 0.333 0.167 0.500  -0.27
Mn: 0.122 0.378 0.000  2.69
Hf: 0.167 0.667 0.500  -0.26
Hf: 0.833 0.333 0.500  -0.26
Bi: 0.500 0.500 0.000  0.02


Entry 9:
An optimized crystal structure of Ac6RhSe5, computed with GGA-PBE.

Properties
Space-group type   C2/m, No. 12
E_form (uncorrected)   -1.672 eV/atom
Final energy   -5.790 eV/atom
DOS at the Fermi energy   0.688 states/eV/atom
Total moment   0.00 μB/cell

abc: 7.719 7.787 7.758
angles: 59.88 80.32 70.43
Fractional coordinates of all 12 atoms:
Se: 0.000 0.666 0.668
Ac: 0.756 0.762 0.000
Ac: 0.760 0.080 0.319
Rh: 0.000 0.000 0.000
Se: 0.000 0.334 0.332
Ac: 0.240 0.601 0.319
Se: 0.500 0.825 0.349
Se: 0.500 0.500 0.000
Se: 0.500 0.175 0.651
Ac: 0.244 0.238 0.000
Ac: 0.760 0.399 0.681
Ac: 0.240 0.920 0.681


Entry 10:
An optimized crystal structure of PmTmInRu, computed with GGA-PBE.

Properties
Space-group type   F-43m, No. 216
Final energy   -5.601 eV/atom
Energy relative to the elements   -292 meV/atom
DOS at the Fermi energy   0.651 states/eV/atom
Total moment   0.00 μB/cell

abc: 5.096 5.096 5.096
angles: 60.00 60.00 60.00
Fractional coordinates of all 4 atoms:
Ru: 0.750 0.750 0.750
Pm: 0.500 0.500 0.500
In: 0.250 0.250 0.250
Tm: 0.000 0.000 0.000


Entry 11:
An optimized crystal structure of Al2ZnIr, computed with GGA-PBE.

Properties
Space-group type   F-43m, No. 216
Final energy   -4.644 eV/atom
Energy relative to the elements   -239 meV/atom
DOS at the Fermi energy   0.157 states/eV/atom
Total moment   0.00 μB/cell

abc: 4.340 4.340 4.340
angles: 60.00 60.00 60.00
Fractional coordinates of all 4 atoms:
Al: 0.750 0.750 0.750
Zn: 0.250 0.250 0.250
Ir: 0.500 0.500 0.500
Al: 0.000 0.000 0.000